Entry 1:
# Cd2AgSe2 PBE relaxed
data_Cd2AgSe2
_chemical_formula_sum 'Cd4 Ag2 Se4'
_cell_length_a 4.5857
_cell_length_b 4.5857
_cell_length_c 11.9872
_cell_angle_alpha 90.00
_cell_angle_beta 90.00
_cell_angle_gamma 90.00
_space_group_name_H-M_alt 'I 4/m m m'
_space_group_IT_number 139
_space_group_name_Hall '-I 4 2'
loop_
_atom_site_label
_atom_site_fract_x
_atom_site_fract_y
_atom_site_fract_z
Cd1 0.0000 0.0000 0.1131
Ag1 0.0000 0.0000 0.5000
Se1 0.0000 0.5000 0.2500
# magnetization = 0.000 μB per formula unit
# energy relative to the elements, uncorrected = 76 kJ/mol of formula units



Entry 2:
# CdAgSe2 PBE relaxed
data_CdAgSe2
_chemical_formula_sum 'Cd1 Ag1 Se2'
_cell_length_a 3.7084
_cell_length_b 3.9043
_cell_length_c 7.0412
_cell_angle_alpha 90.00
_cell_angle_beta 90.00
_cell_angle_gamma 90.00
_space_group_name_H-M_alt 'P m m m'
_space_group_IT_number 47
_space_group_name_Hall '-P 2 2'
loop_
_atom_site_label
_atom_site_fract_x
_atom_site_fract_y
_atom_site_fract_z
Cd1 0.0000 0.0000 0.0000
Ag1 0.0000 0.5000 0.5000
Se1 0.5000 0.0000 0.5000
Se2 0.5000 0.5000 0.0000
# magnetization = 0.000 μB per formula unit
# energy relative to the elements, uncorrected = -2 kJ/mol of formula units



Entry 3:
# CdAgSe2 PBE relaxed
data_CdAgSe2
_chemical_formula_sum 'Cd2 Ag2 Se4'
_cell_length_a 6.0631
_cell_length_b 7.8239
_cell_length_c 4.3771
_cell_angle_alpha 90.00
_cell_angle_beta 118.32
_cell_angle_gamma 90.00
_space_group_name_H-M_alt 'C 1 2/m 1'
_space_group_IT_number 12
_space_group_name_Hall '-C 2y'
loop_
_atom_site_label
_atom_site_fract_x
_atom_site_fract_y
_atom_site_fract_z
Cd1 0.0000 0.0000 0.0000
Ag1 0.0000 0.5000 0.0000
Se1 0.2500 0.2500 0.5000
# magnetization = 0.000 μB per formula unit
# energy relative to the elements, uncorrected = -24 kJ/mol of formula units



Entry 4:
# Cd2Ag2Se PBE relaxed
data_Cd2Ag2Se
_chemical_formula_sum 'Cd4 Ag4 Se2'
_cell_length_a 7.3412
_cell_length_b 7.3412
_cell_length_c 4.1035
_cell_angle_alpha 90.00
_cell_angle_beta 90.00
_cell_angle_gamma 90.00
_space_group_name_H-M_alt 'P 4/m b m'
_space_group_IT_number 127
_space_group_name_Hall '-P 4 2ab'
loop_
_atom_site_label
_atom_site_fract_x
_atom_site_fract_y
_atom_site_fract_z
Cd1 0.1493 0.3507 0.0000
Ag1 0.1405 0.6405 0.5000
Se1 0.0000 0.0000 0.0000
# magnetization = 0.000 μB per formula unit
# energy relative to the elements, uncorrected = 38 kJ/mol of formula units



Entry 5:
# CdAg2Se PBE relaxed
data_CdAg2Se
_chemical_formula_sum 'Cd1 Ag2 Se1'
_cell_length_a 3.0519
_cell_length_b 3.0519
_cell_length_c 8.4769
_cell_angle_alpha 90.00
_cell_angle_beta 90.00
_cell_angle_gamma 90.00
_space_group_name_H-M_alt 'P 4/m m m'
_space_group_IT_number 123
_space_group_name_Hall '-P 4 2'
loop_
_atom_site_label
_atom_site_fract_x
_atom_site_fract_y
_atom_site_fract_z
Cd1 0.0000 0.0000 0.0000
Ag1 0.5000 0.5000 0.2474
Se1 0.0000 0.0000 0.5000
# magnetization = 0.000 μB per formula unit
# energy relative to the elements, uncorrected = 30 kJ/mol of formula units



Entry 6:
# CdAg2Se PBE relaxed
data_CdAg2Se
_chemical_formula_sum 'Cd2 Ag4 Se2'
_cell_length_a 6.2434
_cell_length_b 8.7017
_cell_length_c 2.9312
_cell_angle_alpha 90.00
_cell_angle_beta 90.54
_cell_angle_gamma 90.00
_space_group_name_H-M_alt 'C 1 2/m 1'
_space_group_IT_number 12
_space_group_name_Hall '-C 2y'
loop_
_atom_site_label
_atom_site_fract_x
_atom_site_fract_y
_atom_site_fract_z
Cd1 0.0000 0.0000 0.0000
Ag1 0.2500 0.2500 0.5000
Se1 0.0000 0.5000 0.0000
# magnetization = 0.000 μB per formula unit
# energy relative to the elements, uncorrected = 27 kJ/mol of formula units



Among the records above, which one has the highest energy relative to the elements, uncorrected?
Cd2AgSe2



Number 1 is which compound?
Cd2AgSe2



What is the formula in the second record?
CdAgSe2



What is the magnetization in the fourth record?
0.000 μB per formula unit